Arrangement P

{"formula": "HgW2Cl", "functional": "PBEsol", "state": "optimized geometry", "lattice": [[2.929, -0.039, 0.000], [-0.327, 4.781, 0.000], [-1.301, -2.371, 5.062]], "species": ["Cl", "W", "Hg", "W"], "fractional_positions": [[0.000, 0.000, 0.000], [0.500, 0.500, 0.500], [0.500, 0.500, 0.000], [0.000, 0.000, 0.500]], "sg": "No. 12"}


Arrangement Q

{"formula": "HgW2Cl", "functional": "PBEsol", "state": "optimized geometry", "lattice": [[-2.552, -0.295, 1.282], [-0.024, -2.787, -0.688], [4.148, -1.964, 7.811]], "species": ["W", "Cl", "Hg", "W"], "fractional_positions": [[0.000, 0.000, 0.036], [0.000, 0.000, 0.426], [0.500, 0.500, 0.793], [0.500, 0.500, 0.245]], "sg": "No. 99"}


Stability, highest: arrangement Q


Arrangement P

{"formula": "Hg2WCl", "functional": "PBEsol", "state": "optimized geometry", "lattice": [[-1.929, 1.682, -3.045], [1.663, -2.611, -2.496], [-3.648, -2.610, 3.467]], "species": ["Hg", "Cl", "W", "Hg"], "fractional_positions": [[0.250, 0.750, 0.500], [0.000, 0.000, 0.000], [0.500, 0.500, 0.000], [0.750, 0.250, 0.500]], "sg": "No. 139"}


Arrangement Q

{"formula": "Hg2WCl", "functional": "PBEsol", "state": "optimized geometry", "lattice": [[-2.172, -0.077, 2.170], [2.750, -2.080, 2.680], [2.864, 4.904, 0.867]], "species": ["Hg", "Cl", "W", "Hg"], "fractional_positions": [[0.421, 0.500, 0.842], [0.698, 0.500, 0.396], [0.808, 0.000, 0.616], [0.070, 0.000, 0.141]], "sg": "No. 38"}


Stability, highest: arrangement Q


Arrangement P

{"formula": "YHgCl2", "functional": "PBEsol", "state": "optimized geometry", "lattice": [[-2.570, 0.917, 2.476], [-0.046, -3.292, -1.570], [5.925, -3.662, 7.509]], "species": ["Cl", "Hg", "Y", "Cl"], "fractional_positions": [[0.000, 0.000, 0.816], [0.500, 0.000, 0.500], [0.500, 0.000, 0.000], [0.000, 0.000, 0.184]], "sg": "No. 65"}


Arrangement Q

{"formula": "YHgCl2", "functional": "PBEsol", "state": "optimized geometry", "lattice": [[4.080, 0.000, 0.000], [0.000, 4.358, 0.000], [0.000, 0.000, 4.916]], "species": ["Y", "Cl", "Hg", "Cl"], "fractional_positions": [[0.000, 0.500, 0.500], [0.000, 0.000, 0.000], [0.500, 0.500, 0.000], [0.500, 0.000, 0.500]], "sg": "No. 47"}


Arrangement R

{"formula": "YHgCl2", "functional": "PBEsol", "state": "optimized geometry", "lattice": [[3.649, 0.000, 0.081], [0.000, 3.862, 0.000], [-0.175, 0.000, 8.905]], "species": ["Hg", "Cl", "Y", "Cl"], "fractional_positions": [[0.500, 0.500, 0.500], [0.996, 0.000, 0.803], [0.000, 0.500, 0.000], [0.004, 0.000, 0.197]], "sg": "No. 10"}


Stability, highest: arrangement R